No. 1
K2CaPbF: relaxed, PBE.

a b c (Å): 5.5735 5.5735 4.7967
angles (deg): 90.00 90.00 90.00
Sites, in units of the cell vectors:
K (0.0000, 0.5000, 0.0000)
K (0.5000, 0.0000, 0.0000)
Ca (0.0000, 0.0000, 0.5000)
Pb (0.5000, 0.5000, 0.5000)
F (0.0000, 0.0000, 0.0000)

Calculated values
Space-group type: P4/mmm (123)
Formation energy without anion corrections: -1168 meV/atom

No. 2
Tm5InPb2: relaxed, PBE.

a b c (Å): 8.8916 8.8916 8.8916
angles (deg): 125.12 125.12 81.33
Sites, in units of the cell vectors:
Tm (0.0000, 0.0000, 0.0000)
Tm (0.9996, 0.4996, 0.1930)
Tm (0.0004, 0.5004, 0.8070)
Tm (0.1934, 0.0004, 0.5000)
Tm (0.3066, 0.8066, 0.8070)
Tm (0.4996, 0.3066, 0.5000)
Tm (0.5000, 0.5000, 0.0000)
Tm (0.5004, 0.6934, 0.5000)
Tm (0.6934, 0.1934, 0.1930)
Tm (0.8066, 0.9996, 0.5000)
In (0.2500, 0.2500, 0.0000)
In (0.7500, 0.7500, 0.0000)
Pb (0.1488, 0.3512, 0.5000)
Pb (0.3512, 0.8512, 0.2023)
Pb (0.6488, 0.1488, 0.7977)
Pb (0.8512, 0.6488, 0.5000)

Calculated values
Polymorph energy (0 for the lowest one): 0.000 eV/atom
ΔE_f: -3.11 eV/f.u.
Space-group type: I4/mcm (140)

No. 3
ReRhN2O: relaxed, PBE.

a b c (Å): 3.9204 3.9204 3.8250
angles (deg): 90.00 90.00 90.00
Sites, in units of the cell vectors:
Re (0.0000, 0.0000, 0.0000)
Rh (0.5000, 0.5000, 0.5000)
N (0.0000, 0.5000, 0.0000)
N (0.5000, 0.0000, 0.0000)
O (0.0000, 0.0000, 0.5000)

Calculated values
Space-group type: P4/mmm (123)
Formation energy without anion corrections: 535 meV/atom

No. 4
TaTiZnO6: relaxed, PBE.

a b c (Å): 4.7484 4.7484 9.1727
angles (deg): 90.00 90.00 90.00
Sites, in units of the cell vectors:
Ta (0.0000, 0.0000, 0.0000)
Ta (0.5000, 0.5000, 0.5000)
Ti (0.0000, 0.0000, 0.6701)
Ti (0.5000, 0.5000, 0.1701)
Zn (0.0000, 0.0000, 0.3360)
Zn (0.5000, 0.5000, 0.8360)
O (0.1892, 0.1892, 0.8329)
O (0.2019, 0.2019, 0.5129)
O (0.2063, 0.2063, 0.1569)
O (0.2937, 0.7063, 0.6569)
O (0.2981, 0.7019, 0.0129)
O (0.3108, 0.6892, 0.3329)
O (0.6892, 0.3108, 0.3329)
O (0.7019, 0.2981, 0.0129)
O (0.7063, 0.2937, 0.6569)
O (0.7937, 0.7937, 0.1569)
O (0.7981, 0.7981, 0.5129)
O (0.8108, 0.8108, 0.8329)

Calculated values
Space-group type: P4_2nm (102)
Formation energy without anion corrections: -2305 meV/atom

No. 5
Sr4H6S: relaxed, PBE.

a b c (Å): 7.6209 7.6209 3.7706
angles (deg): 90.00 90.00 120.00
Sites, in units of the cell vectors:
Sr (0.0000, 0.0000, 0.0000)
Sr (0.0028, 0.5014, 0.5000)
Sr (0.4986, 0.5014, 0.5000)
Sr (0.4986, 0.9972, 0.5000)
H (0.2080, 0.4161, 0.0000)
H (0.2080, 0.7920, 0.0000)
H (0.2555, 0.1277, 0.5000)
H (0.5839, 0.7920, 0.0000)
H (0.8723, 0.1277, 0.5000)
H (0.8723, 0.7445, 0.5000)
S (0.6667, 0.3333, 0.0000)

Calculated values
Space-group type: P-6m2 (187)

No. 6
Mn2IrRh: relaxed, PBE.

a b c (Å): 4.5346 4.5346 4.5926
angles (deg): 99.67 99.67 33.96
Sites, in units of the cell vectors:
Mn (0.2492, 0.2492, 0.2467)
Mn (0.7508, 0.7508, 0.7533)
Ir (0.5000, 0.5000, 0.0000)
Rh (0.0000, 0.0000, 0.5000)

Calculated values
ΔE_f: 0.01 eV/f.u.
Space-group type: C2/m (12)

No. 7
SrSc2In2: relaxed, PBE.

a b c (Å): 8.7704 8.7704 3.5488
angles (deg): 90.00 90.00 90.00
Sites, in units of the cell vectors:
Sr (0.0000, 0.0000, 0.0000)
Sr (0.5000, 0.5000, 0.0000)
Sc (0.1648, 0.3352, 0.5000)
Sc (0.3352, 0.8352, 0.5000)
Sc (0.6648, 0.1648, 0.5000)
Sc (0.8352, 0.6648, 0.5000)
In (0.1323, 0.6323, 0.0000)
In (0.3677, 0.1323, 0.0000)
In (0.6323, 0.8677, 0.0000)
In (0.8677, 0.3677, 0.0000)

Calculated values
Polymorph energy (0 for the lowest one): 0.079 eV/atom
ΔE_f: -1.17 eV/f.u.
Space-group type: P4/mbm (127)

No. 8
AsPRuBr2: relaxed, PBE.

a b c (Å): 5.0247 5.0247 4.7316
angles (deg): 90.00 90.00 90.00
Sites, in units of the cell vectors:
As (0.0000, 0.0000, 0.0000)
P (0.5000, 0.5000, 0.0000)
Ru (0.0000, 0.0000, 0.5000)
Br (0.0000, 0.5000, 0.5000)
Br (0.5000, 0.0000, 0.5000)

Calculated values
Polymorph energy (0 for the lowest one): 0.000 eV/atom
Space-group type: P4/mmm (123)
Formation energy without anion corrections: 819 meV/atom

No. 9
Pr4HgTe3: relaxed, PBE.

a b c (Å): 7.8851 7.8851 4.4391
angles (deg): 90.00 90.00 108.47
Sites, in units of the cell vectors:
Pr (0.2445, 0.2445, 0.5000)
Pr (0.2467, 0.7533, 0.0000)
Pr (0.7533, 0.2467, 0.0000)
Pr (0.7555, 0.7555, 0.5000)
Hg (0.0000, 0.0000, 0.0000)
Te (0.0000, 0.5000, 0.5000)
Te (0.5000, 0.0000, 0.5000)
Te (0.5000, 0.5000, 0.0000)

Calculated values
Space-group type: Cmmm (65)
Formation energy without anion corrections: -1214 meV/atom

No. 10
BaVPb2: relaxed, PBE.

a b c (Å): 9.9889 9.9889 9.9889
angles (deg): 146.10 146.10 48.70
Sites, in units of the cell vectors:
Ba (0.0000, 0.0000, 0.0000)
Ba (0.7500, 0.2500, 0.5000)
V (0.2500, 0.7500, 0.5000)
V (0.5000, 0.5000, 0.0000)
Pb (0.2794, 0.6250, 0.1544)
Pb (0.3750, 0.5294, 0.6544)
Pb (0.4706, 0.1250, 0.8456)
Pb (0.8750, 0.7206, 0.3456)

Calculated values
ΔE_f: 1.05 eV/f.u.
Space-group type: I-42d (122)

No. 11
NbSbPt: relaxed, PBE.

a b c (Å): 13.1754 3.4475 3.4475
angles (deg): 50.53 90.00 90.00
Sites, in units of the cell vectors:
Nb (0.0000, 0.0000, 0.0000)
Nb (0.5000, 0.0473, 0.0473)
Sb (0.3350, 0.7601, 0.7601)
Sb (0.6650, 0.7601, 0.7601)
Pt (0.1473, 0.2951, 0.2951)
Pt (0.8527, 0.2951, 0.2951)

Calculated values
Space-group type: Amm2 (38)
Formation energy without anion corrections: -129 meV/atom

No. 12
CsTbI4: relaxed, PBE.

a b c (Å): 13.8396 13.8396 11.0015
angles (deg): 113.03 113.03 25.60
Sites, in units of the cell vectors:
Cs (0.2446, 0.2446, 0.2454)
Cs (0.7554, 0.7554, 0.7546)
Tb (0.4087, 0.4087, 0.9078)
Tb (0.5913, 0.5913, 0.0922)
I (0.0871, 0.0871, 0.0892)
I (0.3223, 0.3223, 0.0141)
I (0.3237, 0.3237, 0.6296)
I (0.4990, 0.4990, 0.1893)
I (0.5010, 0.5010, 0.8107)
I (0.6763, 0.6763, 0.3704)
I (0.6777, 0.6777, 0.9859)
I (0.9129, 0.9129, 0.9108)

Calculated values
Polymorph energy (0 for the lowest one): 0.024 eV/atom
Space-group type: C2/m (12)
Formation energy without anion corrections: -1438 meV/atom

no.,E_tot (eV per cell),M_tot (μB per cell)
1,-15.61,0.00
2,-71.25,0.00
3,-38.74,1.63
4,-143.03,1.81
5,-39.46,0.00
6,-34.55,2.99
7,-41.97,0.00
8,-18.58,0.00
9,-38.56,0.00
10,-34.82,4.56
11,-41.24,0.00
12,-40.62,0.00